w | ! Nd2SmDy6 | Alexandria via LeMat-Bulk | GGA-PBE | optimized geometry; values from VASP
! Space group: No. 160
&SYSTEM
  ibrav = 0, nat = 9, ntyp = 3
/
ATOMIC_SPECIES
Nd 144.24 Nd.upf
Sm 150.36 Sm.upf
Dy 162.50 Dy.upf
ATOMIC_POSITIONS angstrom
Nd 11.1749 6.4518 4.6700
Nd 7.4499 4.3012 1.6593
Sm 3.7250 2.1506 0.3438
Dy 9.4066 3.1702 4.4182
Dy 7.4511 6.5613 4.4182
Dy 5.4921 3.1722 4.4182
Dy 3.7236 4.5989 1.8132
Dy 1.6054 0.9253 1.8132
Dy 5.8459 0.9277 1.8132
CELL_PARAMETERS angstrom
7.4499 0.0000 0.0000
3.7250 6.4518 0.0000
3.7250 2.1506 6.3371

x | ! Nd2SmDy6 | Alexandria via LeMat-Bulk | GGA-PBE | optimized geometry; values from VASP
! Space group: No. 12
&SYSTEM
  ibrav = 0, nat = 9, ntyp = 3
/
ATOMIC_SPECIES
Nd 144.24 Nd.upf
Sm 150.36 Sm.upf
Dy 162.50 Dy.upf
ATOMIC_POSITIONS angstrom
Nd 2.7824 3.1857 7.8970
Nd 4.3217 3.6611 3.0969
Sm 1.1424 3.4234 4.7241
Dy 5.1171 5.7286 8.9032
Dy 1.9870 1.1183 2.0907
Dy 6.6580 6.2049 4.0986
Dy 3.4780 5.9645 5.7278
Dy 0.4461 0.6420 6.8953
Dy 3.6261 0.8823 5.2661
CELL_PARAMETERS angstrom
4.8192 0.0000 1.5457
2.1891 7.5620 1.4603
0.0957 -0.7152 7.9879

Relative to the most stable structure, the computed energies are w 0.321; x 0.000, all in eV/atom.

w | ! NdSm12Dy6 | Alexandria via LeMat-Bulk | GGA-PBE | optimized geometry; values from VASP
! Space group: No. 166
&SYSTEM
  ibrav = 0, nat = 19, ntyp = 3
/
ATOMIC_SPECIES
Nd 144.24 Nd.upf
Sm 150.36 Sm.upf
Dy 162.50 Dy.upf
ATOMIC_POSITIONS angstrom
Nd 0.0000 0.0000 0.0000
Sm 6.2103 1.8641 3.1887
Sm 2.9311 0.5966 2.5956
Sm 2.5992 2.9853 -0.1278
Sm 7.0144 5.2865 3.7819
Sm 4.6027 5.2865 6.5053
Sm 4.2708 7.6752 3.7819
Sm 3.2853 6.4077 0.5986
Sm 1.3073 4.1359 5.7789
Sm 0.9917 6.4077 3.1887
Sm 3.9166 1.8641 5.7789
Sm 5.8946 4.1359 0.5986
Sm 0.1876 2.9853 2.5956
Dy 7.2570 2.6241 6.4263
Dy 6.5727 7.5491 0.8112
Dy 1.6004 7.5491 6.4263
Dy 0.6292 0.7227 5.5663
Dy -0.0551 5.6477 -0.0488
Dy 5.6016 0.7227 -0.0488
CELL_PARAMETERS angstrom
8.7107 -0.1665 -1.2077
-1.3638 8.6049 -1.2077
-0.1450 -0.1665 8.7928

x | ! NdSm12Dy6 | Alexandria via LeMat-Bulk | GGA-PBE | optimized geometry; values from VASP
! Space group: No. 148
&SYSTEM
  ibrav = 0, nat = 19, ntyp = 3
/
ATOMIC_SPECIES
Nd 144.24 Nd.upf
Sm 150.36 Sm.upf
Dy 162.50 Dy.upf
ATOMIC_POSITIONS angstrom
Nd 0.0000 0.0000 0.0000
Sm 6.0726 4.8474 4.8216
Sm 2.9123 6.5903 5.6310
Sm 3.8708 3.5401 7.4904
Sm 1.2723 3.7099 5.4299
Sm 4.4326 1.9671 4.6205
Sm 3.4741 5.0173 2.7611
Sm -0.2087 1.4637 3.2717
Sm 5.8665 5.3411 9.6515
Sm 4.3900 8.3153 8.2268
Sm 7.5536 7.0937 6.9798
Sm 1.4784 3.2162 0.6000
Sm 2.9549 0.2421 2.0247
Dy 5.6089 8.0356 3.9762
Dy 5.7476 2.6379 1.6347
Dy 0.2525 5.8536 2.8876
Dy 1.7361 0.5217 6.2753
Dy 1.5973 5.9194 8.6168
Dy 7.0924 2.7038 7.3639
CELL_PARAMETERS angstrom
8.5605 0.6981 0.8363
-0.6078 8.5674 0.8363
-0.6078 -0.7081 8.5789

Relative to the most stable structure, the computed energies are w 0.059; x 0.000, all in eV/atom.

w | ! Nd8Sm6Dy | Alexandria via LeMat-Bulk | GGA-PBE | optimized geometry; values from VASP
! Space group: No. 147
&SYSTEM
  ibrav = 0, nat = 15, ntyp = 3
/
ATOMIC_SPECIES
Nd 144.24 Nd.upf
Sm 150.36 Sm.upf
Dy 162.50 Dy.upf
ATOMIC_POSITIONS angstrom
Nd -1.4500 0.0564 5.9734
Nd 2.2620 -4.0389 7.6472
Nd 2.9599 1.4028 9.4508
Nd 4.9834 -5.6946 3.5760
Nd 1.2714 -1.5993 1.9023
Nd 0.5734 -7.0410 0.0987
Nd 1.0650 -0.9243 7.9594
Nd 2.4684 -4.7139 1.5901
Sm -1.0984 -6.5233 3.1598
Sm 2.1280 -6.5424 5.4632
Sm 0.1463 -3.1631 4.8556
Sm 4.6318 0.8851 6.3897
Sm 1.4054 0.9042 4.0863
Sm 3.3870 -2.4751 4.6939
Dy -1.9086 -0.6395 2.6681
CELL_PARAMETERS angstrom
-3.8172 -1.2790 5.3362
1.3597 -9.3451 -1.2672
5.9909 4.9859 5.4805

x | ! Nd8Sm6Dy | Alexandria via LeMat-Bulk | GGA-PBE | optimized geometry; values from VASP
! Space group: No. 148
&SYSTEM
  ibrav = 0, nat = 15, ntyp = 3
/
ATOMIC_SPECIES
Nd 144.24 Nd.upf
Sm 150.36 Sm.upf
Dy 162.50 Dy.upf
ATOMIC_POSITIONS angstrom
Nd 7.0840 3.3511 2.9703
Nd 10.5696 2.0775 3.0909
Nd 6.4442 7.0066 3.0909
Nd 9.9298 5.7330 1.4803
Nd 9.9298 5.7330 4.5808
Nd 13.4154 4.4594 2.9703
Nd 9.2899 9.3884 2.9703
Nd 12.7756 8.1148 3.0909
Sm 13.2792 10.6865 5.8877
Sm 2.3497 2.5110 0.1735
Sm 5.9646 5.3091 0.1735
Sm 13.8950 6.1569 5.8877
Sm 17.5099 8.9550 5.8877
Sm 6.5804 0.7794 0.1735
Dy 0.0000 0.0000 0.0000
CELL_PARAMETERS angstrom
9.9298 0.0000 0.0000
4.9649 8.5995 0.0000
4.9649 2.8665 6.0612

Relative to the most stable structure, the computed energies are w 0.008; x 0.000, all in eV/atom.

w | ! NdSm7Dy3 | Alexandria via LeMat-Bulk | GGA-PBE | optimized geometry; values from VASP
! Space group: No. 156
&SYSTEM
  ibrav = 0, nat = 11, ntyp = 3
/
ATOMIC_SPECIES
Nd 144.24 Nd.upf
Sm 150.36 Sm.upf
Dy 162.50 Dy.upf
ATOMIC_POSITIONS angstrom
Nd 3.8442 0.0000 4.1409
Sm 0.9686 -1.7847 5.1713
Sm 0.9686 0.0000 2.0802
Sm 1.0622 3.5861 2.0704
Sm 3.9405 5.3696 1.0408
Sm 3.9405 1.8027 1.0408
Sm 3.9405 3.5861 4.1298
Sm 0.9686 1.7846 5.1713
Dy 6.7972 1.7958 3.1041
Dy 6.7972 3.5861 0.0031
Dy 6.7972 5.3764 3.1041
CELL_PARAMETERS angstrom
8.6727 0.0000 0.0000
0.0000 7.1722 0.0000
0.0000 -3.5861 6.2113

x | ! NdSm7Dy3 | Alexandria via LeMat-Bulk | GGA-PBE | optimized geometry; values from VASP
! Space group: No. 2
&SYSTEM
  ibrav = 0, nat = 11, ntyp = 3
/
ATOMIC_SPECIES
Nd 144.24 Nd.upf
Sm 150.36 Sm.upf
Dy 162.50 Dy.upf
ATOMIC_POSITIONS angstrom
Nd 3.4249 2.8984 5.3120
Sm 5.2092 1.3188 2.7780
Sm 4.9454 5.8824 6.7782
Sm 1.8948 2.6909 1.9493
Sm 4.9550 3.1060 8.6747
Sm 0.0896 3.1989 4.9020
Sm 1.9044 -0.0855 3.8458
Sm 1.6406 4.4781 7.8460
Dy 6.1274 4.6635 3.0590
Dy 3.3353 -0.3005 0.4100
Dy 0.7223 1.1334 7.5650
CELL_PARAMETERS angstrom
6.6706 -0.6010 0.8200
-0.2117 6.4653 1.0843
0.3909 -0.0675 8.7197

Relative to the most stable structure, the computed energies are w 0.058; x 0.000, all in eV/atom.

w | ! NdSm6Dy2 | Alexandria via LeMat-Bulk | GGA-PBE | optimized geometry; values from VASP
! Space group: No. 12
&SYSTEM
  ibrav = 0, nat = 9, ntyp = 3
/
ATOMIC_SPECIES
Nd 144.24 Nd.upf
Sm 150.36 Sm.upf
Dy 162.50 Dy.upf
ATOMIC_POSITIONS angstrom
Nd 2.0411 0.7715 8.1861
Sm 0.6004 -2.7369 16.0798
Sm 3.4818 4.2799 0.2924
Sm 2.6562 -0.0381 4.8162
Sm -0.0893 -1.3815 10.1741
Sm 1.4261 1.5811 11.5561
Sm 4.1716 2.9245 6.1982
Dy 2.7245 -0.5831 14.1268
Dy 1.3578 2.1261 2.2454
CELL_PARAMETERS angstrom
3.4213 0.0000 0.6244
2.0241 5.6021 -1.4055
-1.3631 -4.0591 17.1533

x | ! NdSm6Dy2 | Alexandria via LeMat-Bulk | GGA-PBE | optimized geometry; values from VASP
! Space group: No. 12
&SYSTEM
  ibrav = 0, nat = 9, ntyp = 3
/
ATOMIC_SPECIES
Nd 144.24 Nd.upf
Sm 150.36 Sm.upf
Dy 162.50 Dy.upf
ATOMIC_POSITIONS angstrom
Nd 0.0000 0.0000 0.0000
Sm 1.8355 5.8991 5.3186
Sm 1.8440 9.1931 5.3203
Sm 1.8355 7.5505 2.4651
Sm 4.3984 5.3981 1.2194
Sm 4.3900 2.1042 1.2177
Sm 4.3984 3.7467 4.0729
Dy 4.8769 7.5258 4.3554
Dy 1.3571 3.7714 2.1826
CELL_PARAMETERS angstrom
6.1649 -0.0285 -0.0165
0.0345 7.5551 0.0076
0.0345 3.7706 6.5469

Relative to the most stable structure, the computed energies are w 0.000; x 0.016, all in eV/atom.